## PmCuGe (PBE)

Data for a geometry-optimized PmCuGe structure.

Results
- energy above the lowest structure with this stoichiometry (eV/atom) = 0.000
- crystal system = hexagonal
- magnetization (μB/f.u.) = 0.01

a b c (Å): 4.273 4.273 7.747
angles (deg): 90.00 90.00 120.00
Fractional coordinates of all 6 atoms:
1 Pm 0.000 0.000 0.000
2 Pm 0.000 0.000 0.500
3 Cu 0.333 0.667 0.250
4 Cu 0.667 0.333 0.750
5 Ge 0.333 0.667 0.750
6 Ge 0.667 0.333 0.250

=====

## Na2InAu2O3 (PBE)

Data for a geometry-optimized Na2InAu2O3 structure.

Results
- electronic total energy (eV per atom) = -4.013
- crystal system = monoclinic

a b c (Å): 6.158 6.158 7.911
angles (deg): 108.85 108.85 31.39
Fractional coordinates of all 8 atoms:
1 Na 0.000 0.000 0.000
2 Na 0.206 0.206 0.831
3 In 0.483 0.483 0.581
4 Au 0.336 0.336 0.230
5 Au 0.778 0.778 0.459
6 O 0.538 0.538 0.849
7 O 0.661 0.661 0.596
8 O 0.828 0.828 0.057

=====

## PrNdAl2 (PBE)

Data for a geometry-optimized PrNdAl2 structure.

Results
- electronic total energy (eV per atom) = -4.650
- crystal system = orthorhombic
- magnetization (μB/f.u.) = 0.00

a b c (Å): 5.743 6.029 6.029
angles (deg): 100.90 90.00 90.00
Fractional coordinates of all 8 atoms:
1 Pr 0.000 0.180 0.820
2 Pr 0.000 0.820 0.180
3 Nd 0.500 0.139 0.499
4 Nd 0.500 0.499 0.139
5 Al 0.000 0.356 0.356
6 Al 0.250 0.659 0.659
7 Al 0.500 0.963 0.963
8 Al 0.750 0.659 0.659

=====

## LaTbSb (PBE)

Data for a geometry-optimized LaTbSb structure.

Results
- electronic total energy (eV per atom) = -5.180
- crystal system = cubic
- magnetization (μB/f.u.) = 0.03

a b c (Å): 5.228 5.228 5.228
angles (deg): 60.00 60.00 60.00
Fractional coordinates of all 3 atoms:
1 La 0.000 0.000 0.000
2 Tb 0.500 0.500 0.500
3 Sb 0.250 0.250 0.250

=====

## ZrFePb2 (PBE)

Data for a geometry-optimized ZrFePb2 structure.

Results
- electronic total energy (eV per atom) = -5.574
- crystal system = cubic
- magnetization (μB/f.u.) = 1.17

a b c (Å): 4.961 4.961 4.961
angles (deg): 60.00 60.00 60.00
Fractional coordinates of all 4 atoms:
1 Zr 0.000 0.000 0.000
2 Fe 0.250 0.250 0.250
3 Pb 0.500 0.500 0.500
4 Pb 0.750 0.750 0.750

=====

## Rb2Na2CdP2 (PBE)

Data for a geometry-optimized Rb2Na2CdP2 structure.

Results
- energy above the lowest structure with this stoichiometry (eV/atom) = 0.037
- crystal system = trigonal

a b c (Å): 9.096 9.096 9.096
angles (deg): 36.49 36.49 36.49
Fractional coordinates of all 7 atoms:
1 Rb 0.100 0.100 0.100
2 Rb 0.900 0.900 0.900
3 Na 0.295 0.295 0.295
4 Na 0.705 0.705 0.705
5 Cd 0.500 0.500 0.500
6 P 0.405 0.405 0.405
7 P 0.595 0.595 0.595

=====

## ErZrS2Br2 (PBE)

Data for a geometry-optimized ErZrS2Br2 structure.

Results
- electronic total energy (eV per atom) = -5.816
- crystal system = orthorhombic
- magnetization (μB/f.u.) = 0.49

a b c (Å): 3.828 5.247 8.774
angles (deg): 90.00 90.00 90.00
Fractional coordinates of all 6 atoms:
1 Er 0.000 0.000 0.000
2 Zr 0.500 0.500 0.224
3 S 0.000 0.500 0.023
4 S 0.500 0.000 0.221
5 Br 0.000 0.500 0.449
6 Br 0.500 0.000 0.770

=====

## U4S3N2 (PBE)

Data for a geometry-optimized U4S3N2 structure.

Results
- electronic total energy (eV per atom) = -9.625
- crystal system = monoclinic
- magnetization (μB/f.u.) = 8.05

a b c (Å): 6.451 6.451 9.205
angles (deg): 125.07 125.07 33.83
Fractional coordinates of all 9 atoms:
1 U 0.097 0.097 0.355
2 U 0.304 0.304 0.888
3 U 0.696 0.696 0.112
4 U 0.903 0.903 0.645
5 S 0.000 0.000 0.000
6 S 0.398 0.398 0.259
7 S 0.602 0.602 0.741
8 N 0.289 0.289 0.634
9 N 0.711 0.711 0.366

=====

## Tl2Hg2O5 (PBE)

Data for a geometry-optimized Tl2Hg2O5 structure.

Results
- energy above the lowest structure with this stoichiometry (eV/atom) = 0.026
- crystal system = tetragonal

a b c (Å): 4.058 4.058 8.814
angles (deg): 90.00 90.00 90.00
Fractional coordinates of all 9 atoms:
1 Tl 0.000 0.000 0.248
2 Tl 0.000 0.000 0.752
3 Hg 0.500 0.500 0.000
4 Hg 0.500 0.500 0.500
5 O 0.000 0.000 0.500
6 O 0.000 0.500 0.160
7 O 0.000 0.500 0.840
8 O 0.500 0.000 0.160
9 O 0.500 0.000 0.840

=====

## TbNp (PBE)

Data for a geometry-optimized TbNp structure.

Results
- DFT formation energy (eV per atom) = 2.351
- energy above the lowest structure with this stoichiometry (eV/atom) = 1.874
- crystal system = cubic
- magnetization (μB/f.u.) = 3.82

a b c (Å): 4.275 4.275 4.275
angles (deg): 60.00 60.00 60.00
Fractional coordinates of all 2 atoms:
1 Tb 0.000 0.000 0.000
2 Np 0.250 0.250 0.250

=====

## YNbCuSi (PBE)

Data for a geometry-optimized YNbCuSi structure.

Results
- energy above the lowest structure with this stoichiometry (eV/atom) = 0.229
- crystal system = cubic
- magnetization (μB/f.u.) = 2.73

a b c (Å): 4.723 4.723 4.723
angles (deg): 60.00 60.00 60.00
Fractional coordinates of all 4 atoms:
1 Y 0.000 0.000 0.000
2 Nb 0.750 0.750 0.750
3 Cu 0.500 0.500 0.500
4 Si 0.250 0.250 0.250

=====

## SmCl3 (PBE)

Data for a geometry-optimized SmCl3 structure.

Results
- electronic total energy (eV per atom) = -4.787
- crystal system = orthorhombic
- magnetization (μB/f.u.) = 0.00

a b c (Å): 7.288 8.800 6.062
angles (deg): 90.00 90.00 90.00
Fractional coordinates of all 16 atoms:
1 Sm 0.126 0.250 0.044
2 Sm 0.374 0.750 0.544
3 Sm 0.626 0.250 0.456
4 Sm 0.874 0.750 0.956
5 Cl 0.035 0.750 0.361
6 Cl 0.168 0.565 0.843
7 Cl 0.168 0.935 0.843
8 Cl 0.332 0.065 0.343
9 Cl 0.332 0.435 0.343
10 Cl 0.465 0.250 0.861
11 Cl 0.535 0.750 0.139
12 Cl 0.668 0.565 0.657
13 Cl 0.668 0.935 0.657
14 Cl 0.832 0.065 0.157
15 Cl 0.832 0.435 0.157
16 Cl 0.965 0.250 0.639

=====

## TlGe5Au3 (PBE)

Data for a geometry-optimized TlGe5Au3 structure.

Results
- electronic total energy (eV per atom) = -3.657
- crystal system = hexagonal

a b c (Å): 5.612 5.612 7.375
angles (deg): 90.00 90.00 120.00
Fractional coordinates of all 9 atoms:
1 Tl 0.000 0.000 0.000
2 Ge 0.000 0.000 0.500
3 Ge 0.333 0.667 0.191
4 Ge 0.333 0.667 0.809
5 Ge 0.667 0.333 0.191
6 Ge 0.667 0.333 0.809
7 Au 0.000 0.500 0.500
8 Au 0.500 0.000 0.500
9 Au 0.500 0.500 0.500

=====

## TaBeTlNi (PBE)

Data for a geometry-optimized TaBeTlNi structure.

Results
- energy above the lowest structure with this stoichiometry (eV/atom) = 0.243
- crystal system = cubic
- magnetization (μB/f.u.) = 0.00

a b c (Å): 4.444 4.444 4.444
angles (deg): 60.00 60.00 60.00
Fractional coordinates of all 4 atoms:
1 Ta 0.000 0.000 0.000
2 Be 0.750 0.750 0.750
3 Tl 0.250 0.250 0.250
4 Ni 0.500 0.500 0.500

=====

## PuZrTl (PBE)

Data for a geometry-optimized PuZrTl structure.

Results
- energy above the lowest structure with this stoichiometry (eV/atom) = 0.000
- crystal system = cubic
- magnetization (μB/f.u.) = 7.04

a b c (Å): 5.041 5.041 5.041
angles (deg): 60.00 60.00 60.00
Fractional coordinates of all 3 atoms:
1 Pu 0.000 0.000 0.000
2 Zr 0.500 0.500 0.500
3 Tl 0.250 0.250 0.250

=====

## BaNdGaSe3 (PBE)

Data for a geometry-optimized BaNdGaSe3 structure.

Results
- electronic total energy (eV per atom) = -4.714
- crystal system = orthorhombic
- magnetization (μB/f.u.) = 0.00

a b c (Å): 7.688 7.688 11.015
angles (deg): 90.00 90.00 146.14
Fractional coordinates of all 12 atoms:
1 Ba 0.248 0.752 0.750
2 Ba 0.752 0.248 0.250
3 Nd 0.000 0.000 0.000
4 Nd 0.000 0.000 0.500
5 Ga 0.474 0.526 0.250
6 Ga 0.526 0.474 0.750
7 Se 0.090 0.910 0.250
8 Se 0.362 0.638 0.041
9 Se 0.362 0.638 0.459
10 Se 0.638 0.362 0.541
11 Se 0.638 0.362 0.959
12 Se 0.910 0.090 0.750

=====

## Pm2In (PBE)

Data for a geometry-optimized Pm2In structure.

Results
- energy above the lowest structure with this stoichiometry (eV/atom) = 0.466
- crystal system = cubic
- magnetization (μB/f.u.) = 0.00

a b c (Å): 6.390 6.390 6.390
angles (deg): 60.00 60.00 60.00
Fractional coordinates of all 6 atoms:
1 Pm 0.000 0.000 0.000
2 Pm 0.000 0.000 0.500
3 Pm 0.000 0.500 0.000
4 Pm 0.500 0.000 0.000
5 In 0.375 0.375 0.375
6 In 0.625 0.625 0.625

=====

## MgPdAu (PBE)

Data for a geometry-optimized MgPdAu structure.

Results
- energy above the lowest structure with this stoichiometry (eV/atom) = 0.000
- crystal system = monoclinic

a b c (Å): 4.884 4.884 5.674
angles (deg): 103.45 103.45 49.88
Fractional coordinates of all 6 atoms:
1 Mg 0.000 0.000 0.000
2 Mg 0.689 0.689 0.365
3 Pd 0.017 0.017 0.496
4 Pd 0.344 0.344 0.178
5 Au 0.345 0.345 0.674
6 Au 0.673 0.673 0.861

=====

## SmGaCo (PBE)

Data for a geometry-optimized SmGaCo structure.

Results
- electronic total energy (eV per atom) = -5.370
- crystal system = orthorhombic
- magnetization (μB/f.u.) = 0.01

a b c (Å): 6.953 4.355 7.342
angles (deg): 90.00 90.00 90.00
Fractional coordinates of all 12 atoms:
1 Sm 0.020 0.250 0.192
2 Sm 0.480 0.750 0.692
3 Sm 0.520 0.250 0.308
4 Sm 0.980 0.750 0.808
5 Ga 0.175 0.250 0.585
6 Ga 0.325 0.750 0.085
7 Ga 0.675 0.250 0.915
8 Ga 0.825 0.750 0.415
9 Co 0.193 0.750 0.412
10 Co 0.307 0.250 0.912
11 Co 0.693 0.750 0.088
12 Co 0.807 0.250 0.588

=====

## Cu5Ag4 (PBE)

Data for a geometry-optimized Cu5Ag4 structure.

Results
- DFT formation energy (eV per atom) = 0.095
- energy above the lowest structure with this stoichiometry (eV/atom) = 0.055
- crystal system = orthorhombic

a b c (Å): 7.179 7.179 7.179
angles (deg): 157.74 109.66 74.81
Fractional coordinates of all 9 atoms:
1 Cu 0.000 0.000 0.000
2 Cu 0.343 0.343 0.000
3 Cu 0.348 0.000 0.348
4 Cu 0.652 0.000 0.652
5 Cu 0.657 0.657 0.000
6 Ag 0.009 0.340 0.669
7 Ag 0.329 0.660 0.669
8 Ag 0.671 0.340 0.331
9 Ag 0.991 0.660 0.331

=====

no.,V (Å³ per cell)
1,122.48
2,147.21
3,204.98
4,101.01
5,86.33
6,238.23
7,176.25
8,170.53
9,145.17
10,55.25
11,74.52
12,388.79
13,201.17
14,62.05
15,90.58
16,362.72
17,184.49
18,100.01
19,222.30
20,130.75